[1]
## PW2N (GGA-PBE)

Data for a geometry-optimized PW2N structure.

Properties
For the volume, the calculation gives 124 Å³/cell. The calculation puts the formation energy without anion corrections at 0.23 eV per atom. The density is 11.03 g/cm³. The calculated total energy is -77.5 eV for the cell shown. Its space group is I-42d (122). Its magnetization is 0.0000 μB/atom.

a b c (Å): 6.7990 6.7990 6.7990
angles (deg): 140.85 140.85 56.57
Last column: nearest neighbours and their distance in Å.
Element x y z (fractional)
1 P 0.0000 0.0000 0.0000  4 W 2.40
2 P 0.7500 0.2500 0.5000  4 W 2.40
3 W 0.2026 0.6250 0.0776  2 N 2.04
4 W 0.3750 0.4526 0.5776  2 N 2.04
5 W 0.5474 0.1250 0.9224  2 N 2.04
6 W 0.8750 0.7974 0.4224  2 N 2.04
7 N 0.2500 0.7500 0.5000  4 W 2.04
8 N 0.5000 0.5000 0.0000  4 W 2.04

=====

[2]
## LiHf2F (GGA-PBE)

Data for a geometry-optimized LiHf2F structure.

Properties
For the volume, the calculation gives 67 Å³/cell. The calculation puts the formation energy without anion corrections at -0.06 eV per atom. The density is 9.45 g/cm³. The calculated total energy is -23.9 eV for the cell shown. Its space group is Fm-3m (225). Its magnetization is 0.0000 μB/atom.

a b c (Å): 4.5656 4.5656 4.5656
angles (deg): 60.00 60.00 60.00
Last column: nearest neighbours and their distance in Å.
Element x y z (fractional)
1 Li 0.0000 0.0000 0.0000  8 Hf 2.80
2 Hf 0.2500 0.2500 0.2500  4 F 2.80, 4 Li 2.80
3 Hf 0.7500 0.7500 0.7500  4 Li 2.80, 4 F 2.80
4 F 0.5000 0.5000 0.5000  8 Hf 2.80

=====

[3]
## MnMo3Pd (GGA-PBE)

Data for a geometry-optimized MnMo3Pd structure.

Properties
For the volume, the calculation gives 87 Å³/cell. The density is 8.60 g/cm³. The calculated total energy is -41.8 eV for the cell shown. Its space group is Pm-3m (221). Its magnetization is 0.0000 μB/atom.

a b c (Å): 4.4262 4.4262 4.4262
angles (deg): 90.00 90.00 90.00
Last column: nearest neighbours and their distance in Å.
Element x y z (fractional)
1 Mn 0.0000 0.0000 0.0000  6 Mo 2.21
2 Mo 0.0000 0.0000 0.5000  2 Mn 2.21
3 Mo 0.0000 0.5000 0.0000  2 Mn 2.21
4 Mo 0.5000 0.0000 0.0000  2 Mn 2.21
5 Pd 0.5000 0.5000 0.5000  12 Mo 3.13

=====

[4]
## K3Pa3PtS8 (GGA-PBE)

Data for a geometry-optimized K3Pa3PtS8 structure.

Properties
For the volume, the calculation gives 409 Å³/cell. The calculation puts the formation energy without anion corrections at -1.30 eV per atom. The density is 5.12 g/cm³. The calculated total energy is -90.4 eV for the cell shown. Its space group is C2/m (12). Its magnetization is 0.1386 μB/atom.

a b c (Å): 7.7946 7.7946 8.3759
angles (deg): 113.43 113.43 66.05
Last column: nearest neighbours and their distance in Å.
Element x y z (fractional)
1 K 0.0000 0.0000 0.0000  6 S 3.13-3.33
2 K 0.0000 0.5000 0.0000  6 S 3.20-3.32
3 K 0.5000 0.0000 0.0000  6 S 3.20-3.32
4 Pa 0.0000 0.5000 0.5000  6 S 2.63-2.79
5 Pa 0.5000 0.0000 0.5000  6 S 2.63-2.79
6 Pa 0.5000 0.5000 0.5000  6 S 2.69-2.75
7 Pt 0.0000 0.0000 0.5000  2 S 2.35
8 S 0.2039 0.2039 0.6681  1 Pt 2.35
9 S 0.2617 0.2617 0.2938  3 Pa 2.75-2.79
10 S 0.2672 0.6770 0.7211  2 Pa 2.63-2.69
11 S 0.3230 0.7328 0.2789  2 Pa 2.63-2.69
12 S 0.6770 0.2672 0.7211  2 Pa 2.63-2.69
13 S 0.7328 0.3230 0.2789  2 Pa 2.63-2.69
14 S 0.7383 0.7383 0.7062  3 Pa 2.75-2.79
15 S 0.7961 0.7961 0.3319  1 Pt 2.35

=====

[5]
## ZrOs2Pb (GGA-PBE)

Data for a geometry-optimized ZrOs2Pb structure.

Properties
For the volume, the calculation gives 72 Å³/cell. The density is 15.66 g/cm³. The calculated total energy is -33.8 eV for the cell shown. Its space group is P4/mmm (123). Its magnetization is 0.0000 μB/atom.

a b c (Å): 4.5875 4.5875 3.4214
angles (deg): 90.00 90.00 90.00
Last column: nearest neighbours and their distance in Å.
Element x y z (fractional)
1 Zr 0.0000 0.0000 0.0000  8 Os 2.86
2 Os 0.0000 0.5000 0.5000  4 Zr 2.86, 4 Pb 2.86
3 Os 0.5000 0.0000 0.5000  4 Zr 2.86, 4 Pb 2.86
4 Pb 0.5000 0.5000 0.0000  8 Os 2.86

=====

[6]
## Pm4CuS3 (GGA-PBE)

Data for a geometry-optimized Pm4CuS3 structure.

Properties
For the volume, the calculation gives 190 Å³/cell. The calculation puts the formation energy without anion corrections at -1.55 eV per atom. The density is 6.48 g/cm³. The calculated total energy is -47.9 eV for the cell shown. Its space group is Cmmm (65). Its magnetization is 0.0000 μB/atom.

a b c (Å): 7.0647 7.0647 4.0254
angles (deg): 90.00 90.00 109.34
Last column: nearest neighbours and their distance in Å.
Element x y z (fractional)
1 Pm 0.2469 0.2469 0.5000  4 S 2.85-2.88, 2 Cu 2.89
2 Pm 0.2472 0.7528 0.0000  5 S 2.85-2.87, 1 Cu 2.91
3 Pm 0.7528 0.2472 0.0000  5 S 2.85-2.87, 1 Cu 2.91
4 Pm 0.7531 0.7531 0.5000  4 S 2.85-2.88, 2 Cu 2.89
5 Cu 0.5000 0.5000 0.0000  6 Pm 2.89-2.91
6 S 0.0000 0.0000 0.0000  6 Pm 2.85
7 S 0.0000 0.5000 0.5000  6 Pm 2.87-2.88
8 S 0.5000 0.0000 0.5000  6 Pm 2.87-2.88

=====

[7]
## CsTl2SnPb (GGA-PBE)

Data for a geometry-optimized CsTl2SnPb structure.

Properties
For the volume, the calculation gives 189 Å³/cell. The density is 7.61 g/cm³. The calculated total energy is -13.8 eV for the cell shown. Its space group is I-4m2 (119). Its magnetization is 0.0000 μB/atom.

a b c (Å): 8.7322 8.7322 8.7322
angles (deg): 147.72 147.72 46.31
Last column: nearest neighbours and their distance in Å.
Element x y z (fractional)
1 Cs 0.0000 0.0000 0.0000  8 Tl 3.90
2 Tl 0.3851 0.3851 0.0000  2 Sn 3.26, 2 Pb 3.26
3 Tl 0.6149 0.6149 0.0000  2 Pb 3.26, 2 Sn 3.26
4 Sn 0.2500 0.7500 0.5000  4 Tl 3.26, 4 Pb 3.43
5 Pb 0.7500 0.2500 0.5000  4 Tl 3.26, 4 Sn 3.43

=====

[8]
## NaTlAsCl6 (GGA-PBE)

Data for a geometry-optimized NaTlAsCl6 structure.

Properties
For the volume, the calculation gives 273 Å³/cell. The calculation puts the formation energy without anion corrections at -0.90 eV per atom. The density is 3.14 g/cm³. The calculated total energy is -27.6 eV for the cell shown. Its space group is P312 (149). Its magnetization is 0.0000 μB/atom.

a b c (Å): 6.9149 6.9149 6.5817
angles (deg): 90.00 90.00 120.00
Last column: nearest neighbours and their distance in Å.
Element x y z (fractional)
1 Na 0.0000 0.0000 0.0000  6 Cl 2.83
2 Tl 0.6667 0.3333 0.5000  6 Cl 3.15
3 As 0.3333 0.6667 0.0000  6 Cl 2.42
4 Cl 0.0512 0.3779 0.2135  1 As 2.42
5 Cl 0.0512 0.6733 0.7865  1 As 2.42
6 Cl 0.3267 0.3779 0.7865  1 As 2.42
7 Cl 0.3267 0.9488 0.2135  1 As 2.42
8 Cl 0.6221 0.6733 0.2135  1 As 2.42
9 Cl 0.6221 0.9488 0.7865  1 As 2.42

=====

[9]
## CsNaSr2As (GGA-PBE)

Data for a geometry-optimized CsNaSr2As structure.

Properties
For the volume, the calculation gives 247 Å³/cell. The density is 2.73 g/cm³. The calculated total energy is -11.8 eV for the cell shown. Its space group is P4/mmm (123). Its magnetization is 0.0000 μB/atom.

a b c (Å): 6.1739 6.1739 6.4738
angles (deg): 90.00 90.00 90.00
Last column: nearest neighbours and their distance in Å.
Element x y z (fractional)
1 Cs 0.0000 0.0000 0.0000  4 Na 4.37, 8 Sr 4.47
2 Na 0.5000 0.5000 0.0000  2 As 3.24
3 Sr 0.0000 0.5000 0.5000  2 As 3.09
4 Sr 0.5000 0.0000 0.5000  2 As 3.09
5 As 0.5000 0.5000 0.5000  4 Sr 3.09, 2 Na 3.24

=====

[10]
## La2Tb4In (GGA-PBE)

Data for a geometry-optimized La2Tb4In structure.

Properties
For the volume, the calculation gives 440 Å³/cell. The density is 7.77 g/cm³. The calculated total energy is -62.9 eV for the cell shown. Its space group is P2_1/m (11). Its magnetization is 0.0000 μB/atom.

a b c (Å): 5.6636 6.6148 12.0759
angles (deg): 90.00 103.66 90.00
Last column: nearest neighbours and their distance in Å.
Element x y z (fractional)
1 La 0.0141 0.2500 0.0276  4 Tb 3.24-3.37, 2 La 3.37, 2 In 3.38
2 La 0.3047 0.2500 0.6142  9 Tb 3.27-3.52
3 La 0.6953 0.7500 0.3858  9 Tb 3.27-3.52
4 La 0.9859 0.7500 0.9724  4 Tb 3.24-3.37, 2 La 3.37, 2 In 3.38
5 Tb 0.1388 0.5013 0.2769  3 Tb 3.29-3.54, 3 La 3.37-3.52, 2 In 3.45-3.46
6 Tb 0.1388 0.9987 0.2769  3 Tb 3.29-3.54, 3 La 3.37-3.52, 2 In 3.45-3.46
7 Tb 0.2756 0.7500 0.5436  1 In 3.19, 4 La 3.38-3.41, 2 Tb 3.54
8 Tb 0.4463 0.2500 0.8927  3 La 3.24-3.27, 3 In 3.43
9 Tb 0.5537 0.7500 0.1073  3 La 3.24-3.27, 3 In 3.43
10 Tb 0.7244 0.2500 0.4564  1 In 3.19, 4 La 3.38-3.41, 2 Tb 3.54
11 Tb 0.8612 0.0013 0.7231  3 Tb 3.29-3.54, 3 La 3.37-3.52, 2 In 3.45-3.46
12 Tb 0.8612 0.4987 0.7231  3 Tb 3.29-3.54, 3 La 3.37-3.52, 2 In 3.45-3.46
13 In 0.4069 0.7500 0.8152  8 Tb 3.19-3.46, 2 La 3.38
14 In 0.5931 0.2500 0.1848  8 Tb 3.19-3.46, 2 La 3.38